Entry 1:
A plane-wave DFT calculation with GGA-PBEsol was carried out for a relaxed structure of ScIn3.

```
ScIn3
1.0
-1.2077 -1.2199 3.4443
3.1571 -2.1747 0.3368
2.9694 4.7315 2.7170
In Sc
3 1
Cartesian
2.2133 3.5268 2.0252 In
0.9747 -1.6973 1.8905 In
0.7561 1.2047 0.6918 In
2.4594 0.6685 3.2490 Sc
```

Computed properties:
For the energy of formation from the pure elements, the calculation gives -21.3 kJ/mol of atoms. The density of states at the Fermi level is 2.7 states/eV/cell. The value obtained for the volume is 92.0 Å³ per cell.



Entry 2:
A plane-wave DFT calculation with GGA-PBEsol was carried out for a relaxed structure of Sc3In.

```
Sc3In
1.0
-1.5055 1.3225 -2.5570
1.0576 -4.4347 -2.9164
-4.1941 -0.5066 4.2711
Sc In
3 1
Cartesian
-0.2059 -1.6320 -2.7866 Sc
-1.6273 -4.0184 -1.1203 Sc
-2.6738 -1.0301 -1.0222 Sc
1.0510 -4.4073 -2.8983 In
```

Computed properties:
For the energy of formation from the pure elements, the calculation gives -24.8 kJ/mol of atoms. The density of states at the Fermi level is 4.3 states/eV/cell. Its energy above the most stable polymorph in this dataset is 0.076 eV per atom. The value obtained for the volume is 89.9 Å³ per cell.



Entry 3:
A plane-wave DFT calculation with GGA-PBEsol was carried out for a relaxed structure of ScIn2.

```
ScIn2
1.0
4.4147 0.0000 0.0000
0.0000 4.3979 0.0000
0.0000 2.1990 6.7229
Sc In
2 4
Cartesian
2.2074 4.3979 2.1094 Sc
2.2074 2.1990 4.6135 Sc
0.0000 4.3979 4.3586 In
0.0000 2.1990 2.3642 In
2.2074 2.1990 0.0000 In
0.0000 0.0000 0.0000 In
```

Computed properties:
For the energy of formation from the pure elements, the calculation gives -42.1 kJ/mol of atoms. The density of states at the Fermi level is 3.1 states/eV/cell. The value obtained for the volume is 130.5 Å³ per cell.



Entry 4:
A plane-wave DFT calculation with GGA-PBEsol was carried out for a relaxed structure of ScIn.

```
ScIn
1.0
6.1001 0.0000 0.0000
0.0000 8.7229 0.0000
0.0000 0.0000 10.0278
In Sc
12 12
Cartesian
4.5751 7.7713 1.4485 In
1.5250 0.9516 8.5793 In
4.5751 3.4099 8.5793 In
1.5250 5.3130 1.4485 In
4.5751 3.9596 4.1917 In
1.5250 4.7633 5.8360 In
4.5751 8.3210 5.8360 In
1.5250 0.4019 4.1917 In
0.0000 2.1807 0.8937 In
3.0501 6.5422 9.1341 In
0.0000 6.5422 9.1341 In
3.0501 2.1807 0.8937 In
4.5751 4.7392 1.3221 Sc
1.5250 3.9837 8.7056 Sc
4.5751 0.3778 8.7056 Sc
1.5250 8.3451 1.3221 Sc
4.5751 1.2196 3.3167 Sc
1.5250 7.5033 6.7110 Sc
4.5751 5.5811 6.7110 Sc
1.5250 3.1418 3.3167 Sc
0.0000 2.1807 6.1848 Sc
3.0501 6.5422 3.8430 Sc
0.0000 6.5422 3.8430 Sc
3.0501 2.1807 6.1848 Sc
```

Computed properties:
For the energy of formation from the pure elements, the calculation gives -42.4 kJ/mol of atoms. The density of states at the Fermi level is 23.6 states/eV/cell. The value obtained for the volume is 533.6 Å³ per cell.



Entry 5:
A plane-wave DFT calculation with GGA-PBEsol was carried out for a relaxed structure of Sc5In4.

```
Sc5In4
1.0
-3.7383 -1.5131 4.6235
6.4954 -4.2143 3.8727
-1.3245 8.3899 1.6747
In Sc
8 10
Cartesian
0.0000 0.0000 0.0000 In
-1.8692 -0.7565 2.3118 In
-3.2944 1.9732 4.0880 In
-0.3975 -2.6960 4.9023 In
0.4516 1.4940 6.9600 In
-1.7684 4.9036 2.2102 In
3.1546 -3.0314 3.5940 In
0.9810 1.1686 3.2109 In
-3.7378 4.7822 4.6487 Sc
1.7772 -4.1069 6.1989 Sc
-1.2796 0.0959 5.1027 Sc
-1.3250 2.0946 1.6495 Sc
0.9799 -1.6204 2.2973 Sc
2.7123 2.5666 5.0683 Sc
1.2822 4.1885 2.4074 Sc
2.0196 -0.7694 5.4518 Sc
3.8888 -0.0129 3.1401 Sc
-0.5870 3.4320 4.7191 Sc
```

Computed properties:
For the energy of formation from the pure elements, the calculation gives -44.3 kJ/mol of atoms. The density of states at the Fermi level is 15.9 states/eV/cell. The value obtained for the volume is 398.2 Å³ per cell.



Entry 6:
A plane-wave DFT calculation with GGA-PBEsol was carried out for a relaxed structure of ScIn.

```
ScIn
1.0
3.1736 0.0000 0.0000
0.0000 3.1736 0.0000
0.0000 0.0000 4.2564
Sc In
1 1
Cartesian
1.5868 1.5868 2.1282 Sc
0.0000 0.0000 0.0000 In
```

Computed properties:
For the energy of formation from the pure elements, the calculation gives -48.6 kJ/mol of atoms. The density of states at the Fermi level is 1.3 states/eV/cell. The value obtained for the volume is 42.9 Å³ per cell.



Entry 7:
A plane-wave DFT calculation with GGA-PBEsol was carried out for a relaxed structure of Sc3In.

```
Sc3In
1.0
-3.3954 0.8861 2.7414
2.2479 -1.8353 3.3774
1.8019 3.9592 0.9521
Sc In
3 1
Cartesian
2.0249 1.0619 2.1648 Sc
-0.7967 2.4226 1.8468 Sc
-0.5737 -0.4746 3.0594 Sc
0.0000 0.0000 0.0000 In
```

Computed properties:
For the energy of formation from the pure elements, the calculation gives -31.2 kJ/mol of atoms. The density of states at the Fermi level is 5.3 states/eV/cell. Its energy above the most stable polymorph in this dataset is 0.009 eV per atom. The value obtained for the volume is 88.3 Å³ per cell.



Entry 8:
A plane-wave DFT calculation with GGA-PBEsol was carried out for a relaxed structure of ScIn8.

```
ScIn8
1.0
4.4277 0.0000 0.0000
2.2139 6.9733 0.0000
2.2139 0.0000 6.9733
In Sc
8 1
Cartesian
2.2138 0.0000 2.2892 In
4.4277 0.0000 4.6842 In
4.4277 2.3014 2.3014 In
2.2138 2.2892 0.0000 In
2.2139 2.3014 4.6719 In
4.4277 4.6842 0.0000 In
4.4277 4.6719 4.6719 In
2.2139 4.6719 2.3014 In
0.0000 0.0000 0.0000 Sc
```

Computed properties:
For the energy of formation from the pure elements, the calculation gives -7.9 kJ/mol of atoms. The density of states at the Fermi level is 5.0 states/eV/cell. The value obtained for the volume is 215.3 Å³ per cell.



Entry 9:
A plane-wave DFT calculation with GGA-PBEsol was carried out for a relaxed structure of Sc3In.

```
Sc3In
1.0
3.2796 0.0000 0.0000
0.0000 3.2796 0.0000
0.0000 0.0000 8.4161
Sc In
3 1
Cartesian
1.6398 1.6398 6.4012 Sc
0.0000 0.0000 4.2081 Sc
1.6398 1.6398 2.0150 Sc
0.0000 0.0000 0.0000 In
```

Computed properties:
For the energy of formation from the pure elements, the calculation gives -24.7 kJ/mol of atoms. The density of states at the Fermi level is 3.9 states/eV/cell. Its energy above the most stable polymorph in this dataset is 0.076 eV per atom. The value obtained for the volume is 90.5 Å³ per cell.



Entry 10:
A plane-wave DFT calculation with GGA-PBEsol was carried out for a relaxed structure of ScIn2.

```
ScIn2
1.0
4.3284 0.0000 0.0000
0.0000 6.1749 0.0000
0.0000 0.0000 9.9104
In Sc
8 4
Cartesian
3.2463 2.2847 2.2794 In
1.0821 0.8027 7.2346 In
3.2463 5.3722 2.6758 In
1.0821 3.8902 7.6310 In
3.2463 2.2853 5.6791 In
1.0821 0.8021 0.7238 In
3.2463 5.3728 9.1866 In
1.0821 3.8896 4.2314 In
3.2463 5.3686 5.9494 Sc
1.0821 3.8938 0.9942 Sc
3.2463 2.2811 8.9162 Sc
1.0821 0.8063 3.9610 Sc
```

Computed properties:
For the energy of formation from the pure elements, the calculation gives -37.0 kJ/mol of atoms. The density of states at the Fermi level is 9.3 states/eV/cell. The value obtained for the volume is 264.9 Å³ per cell.



Entry 11:
A plane-wave DFT calculation with GGA-PBEsol was carried out for a relaxed structure of Sc5In.

```
Sc5In
1.0
3.2358 0.0000 0.0000
-1.6179 5.8062 -0.0071
0.0000 -1.8394 7.2759
Sc In
5 1
Cartesian
1.6179 1.3626 2.4219 Sc
0.0000 2.6731 4.9065 Sc
0.0000 4.0323 1.9860 Sc
0.0000 -0.4036 4.4276 Sc
1.6179 0.7249 6.8811 Sc
1.6179 3.9138 7.2442 In
```

Computed properties:
For the energy of formation from the pure elements, the calculation gives -17.0 kJ/mol of atoms. The density of states at the Fermi level is 9.1 states/eV/cell. Its energy above the most stable polymorph in this dataset is 0.000 eV per atom. The value obtained for the volume is 136.7 Å³ per cell.



Entry 12:
A plane-wave DFT calculation with GGA-PBEsol was carried out for a relaxed structure of ScIn2.

```
ScIn2
1.0
4.1698 0.0000 0.0000
0.0000 4.4295 0.0000
0.0000 2.2148 7.2180
In Sc
4 2
Cartesian
1.0424 4.4295 3.7378 In
1.0424 2.2148 1.0700 In
3.1273 2.2148 3.4803 In
3.1273 4.4295 6.1480 In
1.0424 2.2148 5.9669 Sc
3.1273 4.4295 1.2511 Sc
```

Computed properties:
For the energy of formation from the pure elements, the calculation gives -34.1 kJ/mol of atoms. The density of states at the Fermi level is 3.5 states/eV/cell. The value obtained for the volume is 133.3 Å³ per cell.



Entry 13:
A plane-wave DFT calculation with GGA-PBEsol was carried out for a relaxed structure of Sc3In.

```
Sc3In
1.0
-2.2665 1.2235 2.5806
-3.6511 -2.3282 -2.1029
3.9627 -3.5937 2.6085
Sc In
3 1
Cartesian
-2.4927 -2.4774 1.5610 Sc
0.5378 -2.2209 1.5253 Sc
-1.1333 0.6118 1.2903 Sc
-1.8255 -1.1641 -1.0514 In
```

Computed properties:
For the energy of formation from the pure elements, the calculation gives -26.6 kJ/mol of atoms. The density of states at the Fermi level is 3.3 states/eV/cell. Its energy above the most stable polymorph in this dataset is 0.056 eV per atom. The value obtained for the volume is 90.0 Å³ per cell.